Entry 1:
Here is a relaxed Sm2TiAl2Ir5 crystal from Alexandria via LeMat-Bulk. Energies are from PBE-GGA.

Summary:
- Calculated total energy: -76.6 eV/f.u.
- V: 17.38 Å³/atom
- Total moment: 0.0 μB/f.u.
- Fermi-level density of states: 10.036 states/eV per cell

a b c (Å): 9.9805 9.9805 3.4899
angles (deg): 90.00 90.00 90.00
Closest atoms and distances in Å follow each position.
Space group P4/mbm (No. 127)
One atom of each set of equivalent atoms:
Sm  0.1744  0.3256  0.0000  3 Al 2.84-3.02, 6 Ir 3.02-3.15
Ti  0.0000  0.0000  0.0000  8 Ir 2.75
Al  0.1244  0.6244  0.0000  6 Ir 2.48-2.52
Ir  0.0000  0.5000  0.5000  4 Al 2.48
Ir  0.0642  0.7968  0.5000  2 Al 2.52, 2 Ti 2.75

***

Entry 2:
Here is a relaxed Sm2Ti2AlIr5 crystal from Alexandria via LeMat-Bulk. Energies are from PBE-GGA.

Summary:
- Calculated total energy: -79.1 eV/f.u.
- V: 17.86 Å³/atom
- Total moment: 0.0 μB/f.u.
- Fermi-level density of states: 7.521 states/eV per cell

a b c (Å): 9.9013 9.9013 3.6429
angles (deg): 90.00 90.00 90.00
Closest atoms and distances in Å follow each position.
Space group P4/mbm (No. 127)
One atom of each set of equivalent atoms:
Sm  0.1792  0.3208  0.0000  3 Ti 2.76-3.05
Ti  0.1234  0.6234  0.0000  6 Ir 2.51-2.59, 1 Sm 2.76
Al  0.0000  0.0000  0.0000  8 Ir 2.77
Ir  0.0000  0.5000  0.5000  4 Ti 2.51
Ir  0.0598  0.7982  0.5000  2 Ti 2.59, 2 Al 2.77

***

Entry 3:
Here is a relaxed Sm2AlZnIr2 crystal from Alexandria via LeMat-Bulk. Energies are from PBE-GGA.

Summary:
- Calculated total energy: -36.5 eV/f.u.
- V: 20.37 Å³/atom
- Total moment: 0.0 μB/f.u.
- Fermi-level density of states: 13.362 states/eV per cell

a b c (Å): 5.8157 14.3720 5.8478
angles (deg): 90.00 90.00 90.00
Closest atoms and distances in Å follow each position.
Space group Ibam (No. 72)
One atom of each set of equivalent atoms:
Sm  0.2369  0.1708  0.0000  5 Ir 2.99-3.10, 2 Zn 3.17, 2 Al 3.24
Al  0.0000  0.5000  0.2500  4 Ir 2.57
Zn  0.0000  0.0000  0.2500  4 Ir 2.69, 2 Al 2.91, 2 Zn 2.92
Ir  0.2315  0.3866  0.0000  2 Al 2.57, 2 Zn 2.69

***

Entry 4:
Here is a relaxed Sm2Al4ZnIr3 crystal from Alexandria via LeMat-Bulk. Energies are from PBE-GGA.

Summary:
- Calculated total energy: -59.7 eV/f.u.
- V: 18.65 Å³/atom
- Total moment: 0.0 μB/f.u.
- Fermi-level density of states: 6.792 states/eV per cell

a b c (Å): 4.1439 4.1439 10.8597
angles (deg): 90.00 90.00 90.00
Closest atoms and distances in Å follow each position.
Space group P-4m2 (No. 115)
One atom of each set of equivalent atoms:
Sm  0.0000  0.5000  0.2453  6 Ir 3.17-3.46, 8 Al 3.21-3.37, 2 Zn 3.46
Al  0.0000  0.0000  0.0000  4 Ir 2.54
Al  0.0000  0.5000  0.6330  3 Ir 2.52-2.53, 2 Zn 2.53
Al  0.5000  0.5000  0.0000  4 Ir 2.54
Zn  0.0000  0.0000  0.5000  4 Al 2.53
Ir  0.0000  0.5000  0.8654  5 Al 2.52-2.54
Ir  0.5000  0.5000  0.5000  4 Al 2.53

***

Entry 5:
Here is a relaxed AlSn2Ir2 crystal from Alexandria via LeMat-Bulk. Energies are from PBE-GGA.

Summary:
- Calculated total energy: -30.1 eV/f.u.
- V: 18.42 Å³/atom
- Total moment: 0.0 μB/f.u.
- Fermi-level density of states: 8.595 states/eV per cell

a b c (Å): 6.7946 6.7946 3.9908
angles (deg): 90.00 90.00 90.00
Closest atoms and distances in Å follow each position.
Space group P4/mbm (No. 127)
One atom of each set of equivalent atoms:
Al  0.0000  0.0000  0.0000  4 Ir 2.59
Sn  0.1599  0.3401  0.5000  6 Ir 2.72-2.89
Ir  0.1483  0.6483  0.0000  2 Al 2.59, 6 Sn 2.72-2.89, 1 Ir 2.85

***

Entry 6:
Here is a relaxed AlSn3Ir crystal from Alexandria via LeMat-Bulk. Energies are from PBE-GGA.

Summary:
- Calculated total energy: -19.3 eV/f.u.
- V: 26.39 Å³/atom
- Total moment: 0.0 μB/f.u.
- Fermi-level density of states: 3.958 states/eV per cell

a b c (Å): 5.0910 5.0910 5.0910
angles (deg): 90.00 90.00 90.00
Closest atoms and distances in Å follow each position.
Space group Pm-3m (No. 221)
One atom of each set of equivalent atoms:
Al  0.0000  0.0000  0.0000  6 Sn 2.55
Sn  0.0000  0.0000  0.5000  2 Al 2.55
Ir  0.5000  0.5000  0.5000  12 Sn 3.60

***

Entry 7:
Here is a relaxed AlSnIr crystal from Alexandria via LeMat-Bulk. Energies are from PBE-GGA.

Summary:
- Calculated total energy: -18.0 eV/f.u.
- V: 19.51 Å³/atom
- Total moment: 0.0 μB/f.u.
- Fermi-level density of states: 5.786 states/eV per cell

a b c (Å): 6.1636 6.1636 6.1636
angles (deg): 90.00 90.00 90.00
Closest atoms and distances in Å follow each position.
Space group F-43m (No. 216)
One atom of each set of equivalent atoms:
Al  0.0000  0.0000  0.0000  4 Ir 2.67
Sn  0.0000  0.0000  0.5000  4 Ir 2.67
Ir  0.2500  0.2500  0.2500  4 Sn 2.67, 4 Al 2.67

***

Entry 8:
Here is a relaxed AlSn3Ir crystal from Alexandria via LeMat-Bulk. Energies are from PBE-GGA.

Summary:
- Calculated total energy: -23.1 eV/f.u.
- V: 27.67 Å³/atom
- Total moment: 0.0 μB/f.u.
- Fermi-level density of states: 3.689 states/eV per cell

a b c (Å): 5.1720 5.1720 5.1720
angles (deg): 90.00 90.00 90.00
Closest atoms and distances in Å follow each position.
Space group Pm-3m (No. 221)
One atom of each set of equivalent atoms:
Al  0.0000  0.0000  0.0000  12 Sn 3.66
Sn  0.0000  0.5000  0.5000  2 Ir 2.59
Ir  0.5000  0.5000  0.5000  6 Sn 2.59

***

Entry 9:
Here is a relaxed AlSn2Ir2 crystal from Alexandria via LeMat-Bulk. Energies are from PBE-GGA.

Summary:
- Calculated total energy: -28.8 eV/f.u.
- V: 18.95 Å³/atom
- Total moment: 0.0 μB/f.u.
- Fermi-level density of states: 4.614 states/eV per cell

a b c (Å): 8.0235 8.0235 2.9431
angles (deg): 90.00 90.00 90.00
Closest atoms and distances in Å follow each position.
Space group P4/mbm (No. 127)
One atom of each set of equivalent atoms:
Al  0.0000  0.0000  0.0000  2 Al 2.94, 4 Sn 3.05
Sn  0.1512  0.3488  0.0000  6 Ir 2.75-2.79, 2 Sn 2.94, 2 Al 3.05
Ir  0.1438  0.6438  0.5000  6 Sn 2.75-2.79, 2 Ir 2.94

***

Entry 10:
Here is a relaxed AlSn2Ir2 crystal from Alexandria via LeMat-Bulk. Energies are from PBE-GGA.

Summary:
- Calculated total energy: -28.1 eV/f.u.
- V: 21.42 Å³/atom
- Total moment: 0.0 μB/f.u.
- Fermi-level density of states: 5.291 states/eV per cell

a b c (Å): 4.2097 4.2097 12.0867
angles (deg): 90.00 90.00 90.00
Closest atoms and distances in Å follow each position.
Space group I4/mmm (No. 139)
One atom of each set of equivalent atoms:
Al  0.0000  0.0000  0.0000  8 Sn 3.31, 8 Ir 3.68
Sn  0.0000  0.0000  0.3807  4 Ir 2.63, 1 Sn 2.88
Ir  0.0000  0.5000  0.2500  4 Sn 2.63

***

Entry 11:
Here is a relaxed AlSn2Ir crystal from Alexandria via LeMat-Bulk. Energies are from PBE-GGA.

Summary:
- Calculated total energy: -19.0 eV/f.u.
- V: 29.04 Å³/atom
- Total moment: 0.0 μB/f.u.
- Fermi-level density of states: 7.804 states/eV per cell

a b c (Å): 6.0477 6.0477 12.7048
angles (deg): 90.00 90.00 90.00
Closest atoms and distances in Å follow each position.
Space group I-42d (No. 122)
One atom of each set of equivalent atoms:
Al  0.0000  0.0000  0.0000  4 Sn 2.76
Sn  0.2240  0.2500  0.6250  2 Ir 2.58, 2 Al 2.76
Ir  0.0000  0.0000  0.5000  4 Sn 2.58

***

Entry 12:
Here is a relaxed SrAl2Ir2 crystal from Alexandria via LeMat-Bulk. Energies are from PBE-GGA.

Summary:
- Calculated total energy: -30.3 eV/f.u.
- V: 19.41 Å³/atom
- Total moment: 0.0 μB/f.u.
- Fermi-level density of states: 4.033 states/eV per cell

a b c (Å): 4.2133 4.2133 10.9352
angles (deg): 90.00 90.00 90.00
Closest atoms and distances in Å follow each position.
Space group I4/mmm (No. 139)
One atom of each set of equivalent atoms:
Sr  0.0000  0.0000  0.0000  8 Ir 3.25, 8 Al 3.45
Al  0.0000  0.5000  0.2500  4 Ir 2.55
Ir  0.0000  0.0000  0.3819  4 Al 2.55, 1 Ir 2.58

***

Entry 13:
Here is a relaxed SrAlIr2 crystal from Alexandria via LeMat-Bulk. Energies are from PBE-GGA.

Summary:
- Calculated total energy: -23.7 eV/f.u.
- V: 20.35 Å³/atom
- Total moment: 0.0 μB/f.u.
- Fermi-level density of states: 3.471 states/eV per cell

a b c (Å): 10.7378 3.0041 5.5554
angles (deg): 90.00 114.72 90.00
Closest atoms and distances in Å follow each position.
Space group Cm (No. 8)
One atom of each set of equivalent atoms:
Sr  0.0000  0.0000  0.0000  2 Sr 3.00, 7 Ir 3.06-3.26, 1 Al 3.21
Al  0.3155  0.5000  0.3287  4 Ir 2.47-2.51
Ir  0.0203  0.5000  0.5369  2 Al 2.51, 2 Ir 2.65
Ir  0.2320  0.0000  0.5830  2 Al 2.47, 2 Ir 2.65

***

Entry 14:
Here is a relaxed SrAl2Ir crystal from Alexandria via LeMat-Bulk. Energies are from PBE-GGA.

Summary:
- Calculated total energy: -19.2 eV/f.u.
- V: 20.52 Å³/atom
- Total moment: 0.0 μB/f.u.
- Fermi-level density of states: 3.223 states/eV per cell

a b c (Å): 3.3190 3.3190 7.4508
angles (deg): 90.00 90.00 90.00
Closest atoms and distances in Å follow each position.
Space group P4mm (No. 99)
One atom of each set of equivalent atoms:
Sr  0.0000  0.0000  0.0000  4 Ir 3.29, 5 Al 3.31-3.43, 4 Sr 3.32
Al  0.0000  0.0000  0.5562  4 Ir 2.55
Al  0.5000  0.5000  0.3360  1 Ir 2.64, 4 Al 2.86
Ir  0.5000  0.5000  0.6903  5 Al 2.55-2.64

***

Entry 15:
Here is a relaxed Sr2AlIr crystal from Alexandria via LeMat-Bulk. Energies are from PBE-GGA.

Summary:
- Calculated total energy: -16.8 eV/f.u.
- V: 37.39 Å³/atom
- Total moment: 0.0 μB/f.u.
- Fermi-level density of states: 11.658 states/eV per cell

a b c (Å): 11.1767 11.1767 4.7890
angles (deg): 90.00 90.00 90.00
Closest atoms and distances in Å follow each position.
Space group I-42d (No. 122)
One atom of each set of equivalent atoms:
Sr  0.0749  0.2500  0.1250  2 Ir 2.98
Al  0.0000  0.0000  0.5000  2 Ir 2.39
Ir  0.0000  0.0000  0.0000  2 Al 2.39

***

Entry 16:
Here is a relaxed SrAlIr2 crystal from Alexandria via LeMat-Bulk. Energies are from PBE-GGA.

Summary:
- Calculated total energy: -23.4 eV/f.u.
- V: 20.19 Å³/atom
- Total moment: 0.0 μB/f.u.
- Fermi-level density of states: 2.168 states/eV per cell

a b c (Å): 2.9453 4.3889 6.3301
angles (deg): 90.00 99.29 90.00
Closest atoms and distances in Å follow each position.
Space group Pm (No. 6)
One atom of each set of equivalent atoms:
Sr  0.0000  0.0000  0.0000  1 Ir 2.92, 2 Sr 2.95
Al  0.6023  0.5000  0.3181  4 Ir 2.48-2.60
Ir  0.2055  0.5000  0.6403  2 Al 2.48-2.51, 4 Ir 2.67-2.76
Ir  0.6443  0.0000  0.5421  2 Al 2.60, 4 Ir 2.67-2.76

***

Entry 17:
Here is a relaxed SrAlIr2 crystal from Alexandria via LeMat-Bulk. Energies are from PBE-GGA.

Summary:
- Calculated total energy: -23.2 eV/f.u.
- V: 19.24 Å³/atom
- Total moment: 0.0 μB/f.u.
- Fermi-level density of states: 4.426 states/eV per cell

a b c (Å): 2.8720 3.9348 6.8091
angles (deg): 90.00 90.00 90.00
Closest atoms and distances in Å follow each position.
Space group Pmm2 (No. 25)
One atom of each set of equivalent atoms:
Sr  0.0000  0.0000  0.0000  2 Sr 2.87, 4 Ir 3.16
Al  0.5000  0.5000  0.3459  5 Ir 2.44-2.67
Ir  0.0000  0.0000  0.5069  4 Al 2.67, 6 Ir 2.78-2.87
Ir  0.5000  0.5000  0.7040  1 Al 2.44

***

Entry 18:
Here is a relaxed SrAl6Ir crystal from Alexandria via LeMat-Bulk. Energies are from PBE-GGA.

Summary:
- Calculated total energy: -36.4 eV/f.u.
- V: 20.05 Å³/atom
- Total moment: 0.0 μB/f.u.
- Fermi-level density of states: 3.247 states/eV per cell

a b c (Å): 4.3128 4.3128 8.6219
angles (deg): 90.00 90.00 90.00
Closest atoms and distances in Å follow each position.
Space group P4/mmm (No. 123)
One atom of each set of equivalent atoms:
Sr  0.0000  0.0000  0.0000  16 Al 3.31-3.64
Al  0.0000  0.5000  0.3401  2 Ir 2.56, 3 Al 2.71-2.76
Al  0.5000  0.5000  0.1491  5 Al 2.57-2.71
Ir  0.0000  0.0000  0.5000  8 Al 2.56

***

Entry 19:
Here is a relaxed SrAl3Ir crystal from Alexandria via LeMat-Bulk. Energies are from PBE-GGA.

Summary:
- Calculated total energy: -10.5 eV/f.u.
- V: 31.78 Å³/atom
- Total moment: 0.3 μB/f.u.
- Fermi-level density of states: 7.818 states/eV per cell

a b c (Å): 5.4166 5.4166 5.4166
angles (deg): 90.00 90.00 90.00
Closest atoms and distances in Å follow each position.
Space group Pm-3m (No. 221)
One atom of each set of equivalent atoms:
Sr  0.0000  0.0000  0.0000  6 Al 2.71
Al  0.0000  0.0000  0.5000  2 Sr 2.71
Ir  0.5000  0.5000  0.5000  12 Al 3.83

***

Entry 20:
Here is a relaxed SrAl2Ir crystal from Alexandria via LeMat-Bulk. Energies are from PBE-GGA.

Summary:
- Calculated total energy: -20.4 eV/f.u.
- V: 23.40 Å³/atom
- Total moment: 0.0 μB/f.u.
- Fermi-level density of states: 4.184 states/eV per cell

a b c (Å): 4.3410 4.3410 17.2071
angles (deg): 90.00 90.00 120.00
Closest atoms and distances in Å follow each position.
Space group R3m (No. 160, hexagonal axes)
One atom of each set of equivalent atoms:
Sr  0.0000  0.0000  0.0000  1 Ir 3.15, 7 Al 3.30-3.49
Al  0.0000  0.0000  0.5302  3 Ir 2.52, 3 Al 2.68
Al  0.0000  0.0000  0.8080  3 Ir 2.61, 3 Al 2.68
Ir  0.0000  0.0000  0.1834  6 Al 2.52-2.61

***

Number 1: energy of formation from the pure elements -0.75 eV/atom. Number 2: energy of formation from the pure elements -0.58 eV/atom. Number 3: energy of formation from the pure elements -0.72 eV/atom. Number 4: energy of formation from the pure elements -0.74 eV/atom. Number 5: energy of formation from the pure elements -0.13 eV/atom. Number 6: energy of formation from the pure elements 1.07 eV/atom. Number 7: energy of formation from the pure elements -0.45 eV/atom. Number 8: energy of formation from the pure elements 0.31 eV/atom. Number 9: energy of formation from the pure elements 0.14 eV/atom. Number 10: energy of formation from the pure elements 0.28 eV/atom. Number 11: energy of formation from the pure elements 0.39 eV/atom. Number 12: energy of formation from the pure elements -0.68 eV/atom. Number 13: energy of formation from the pure elements -0.13 eV/atom. Number 14: energy of formation from the pure elements -0.31 eV/atom. Number 15: energy of formation from the pure elements -0.21 eV/atom. Number 16: energy of formation from the pure elements -0.05 eV/atom. Number 17: energy of formation from the pure elements -0.02 eV/atom. Number 18: energy of formation from the pure elements -0.43 eV/atom. Number 19: energy of formation from the pure elements 2.25 eV/atom. Number 20: energy of formation from the pure elements -0.60 eV/atom.